Entry from the Alexandria database: an optimized crystal structure of Na3HfMn2S6 (GGA-PBE).

Cell: 6.3516 6.3516 7.0099 Å, 99.60 99.60 118.14°
With the nearest neighbours (Å) after each atom.
Positions (direct):
1 Na 0.1656 0.8344 0.5000  6 S 2.84-2.89
2 Na 0.8344 0.1656 0.5000  6 S 2.84-2.89
3 Na 0.5000 0.5000 0.5000  6 S 2.87-2.94
4 Hf 0.0000 0.0000 0.0000  6 S 2.54-2.60
5 Mn 0.3303 0.6697 0.0000  6 S 2.48-2.68
6 Mn 0.6697 0.3303 0.0000  6 S 2.48-2.68
7 S 0.9411 0.6031 0.7841  2 Mn 2.48-2.68, 1 Hf 2.54
8 S 0.7284 0.7284 0.2018  2 Mn 2.51, 1 Hf 2.60
9 S 0.0589 0.3969 0.2159  2 Mn 2.48-2.68, 1 Hf 2.54
10 S 0.6031 0.9411 0.7841  2 Mn 2.48-2.68, 1 Hf 2.54
11 S 0.2716 0.2716 0.7982  2 Mn 2.51, 1 Hf 2.60
12 S 0.3969 0.0589 0.2159  2 Mn 2.48-2.68, 1 Hf 2.54

SG = C2/m, No. 12
total DFT energy (no corrections) = -70.026 eV for the cell shown
energy relative to the elements, uncorrected = -1084 meV/atom